First-principles (PBE-GGA) data for a geometry-optimized PrHf2Zn6 structure, as listed in the Alexandria database.

Results
V: 18.4 A^3/atom
magnetic moment: 0.0 μB/f.u.
formation energy from the elements: -208 meV per atom
total DFT energy (no corrections): -0.2793 Ry/atom

Cell and atoms, written as extended XYZ:
```
9
Lattice="-1.454 2.614 1.136 -1.678 2.201 -7.209 -4.938 -4.454 3.926" Properties=species:S:1:pos:R:3 pbc="T T T"
Zn -3.973 -1.621 3.149
Zn -1.302 2.061 -1.902
Zn -6.768 -1.700 -0.245
Zn -5.076 -0.174 -1.590
Zn -2.419 -0.219 1.913
Zn -2.994 0.535 -0.557
Hf -3.852 -2.235 0.214
Hf -4.219 2.596 -2.361
Pr -4.938 -4.454 3.926
```

First-principles (PBE-GGA) data for a geometry-optimized PrHfZn2 structure, as listed in the Alexandria database.

Results
V: 23.0 A^3/atom
magnetic moment: 0.0 μB/f.u.
formation energy from the elements: 36 meV per atom
total DFT energy (no corrections): -0.3149 Ry/atom

Cell and atoms, written as extended XYZ:
```
4
Lattice="-2.943 1.151 1.341 -1.665 -1.872 2.348 3.058 3.880 7.773" Properties=species:S:1:pos:R:3 pbc="T T T"
Hf 0.000 0.000 0.000
Zn -0.504 0.686 2.700
Zn -1.046 2.473 8.762
Pr -0.775 1.579 5.731
```

First-principles (PBE-GGA) data for a geometry-optimized PrHfZn structure, as listed in the Alexandria database.

Results
V: 23.9 A^3/atom
magnetic moment: 0.0 μB/f.u.
formation energy from the elements: -44 meV per atom
total DFT energy (no corrections): -0.3954 Ry/atom

Cell and atoms, written as extended XYZ:
```
3
Lattice="-0.276 -3.353 0.396 1.627 -0.480 -2.932 4.786 1.827 4.314" Properties=species:S:1:pos:R:3 pbc="T T T"
Zn 2.700 -1.950 -0.139
Pr 0.037 -0.001 0.020
Hf 3.401 -0.056 1.896
```

First-principles (PBE-GGA) data for a geometry-optimized Pr4HfZn5 structure, as listed in the Alexandria database.

Results
V: 23.9 A^3/atom
magnetic moment: 0.0 μB/f.u.
formation energy from the elements: -241 meV per atom
total DFT energy (no corrections): -0.2782 Ry/atom

Cell and atoms, written as extended XYZ:
```
10
Lattice="-0.910 -3.030 -1.726 2.592 -1.782 1.761 -11.894 -4.060 13.397" Properties=species:S:1:pos:R:3 pbc="T T T"
Zn -7.580 -5.280 9.503
Zn -0.067 -2.716 1.040
Zn -10.145 -6.156 12.392
Zn -5.106 -4.436 6.716
Zn -2.632 -3.591 3.929
Pr -9.689 -3.307 10.913
Pr -7.195 -2.456 8.104
Pr -2.205 -0.753 2.484
Pr -4.699 -1.604 5.293
Hf 0.000 0.000 0.000
```

First-principles (PBE-GGA) data for a geometry-optimized PrHf2Zn9 structure, as listed in the Alexandria database.

Results
V: 17.2 A^3/atom
magnetic moment: 1.5 μB/f.u.
formation energy from the elements: -250 meV per atom
total DFT energy (no corrections): -0.2398 Ry/atom

Cell and atoms, written as extended XYZ:
```
12
Lattice="-3.920 3.018 -1.933 -3.794 1.820 3.240 2.019 8.530 1.925" Properties=species:S:1:pos:R:3 pbc="T T T"
Zn -5.110 3.274 0.882
Zn -2.631 4.196 1.035
Zn -3.063 9.172 2.197
Zn -0.584 10.094 2.350
Zn -4.577 5.129 2.696
Zn -2.847 6.684 1.616
Zn -1.118 8.238 0.536
Zn -1.053 7.624 3.188
Zn -4.641 5.743 0.044
Hf -5.716 7.848 1.955
Hf 0.022 5.520 1.277
Pr 0.000 0.000 0.000
```

First-principles (PBE-GGA) data for a geometry-optimized PrHfZn structure, as listed in the Alexandria database.

Results
V: 23.3 A^3/atom
magnetic moment: 0.0 μB/f.u.
formation energy from the elements: 378 meV per atom
total DFT energy (no corrections): -0.3644 Ry/atom

Cell and atoms, written as extended XYZ:
```
6
Lattice="-2.245 -4.745 -1.015 2.497 2.596 -3.577 5.150 -2.775 1.582" Properties=species:S:1:pos:R:3 pbc="T T T"
Hf 4.213 -2.024 0.146
Hf 1.638 -0.637 -0.645
Zn 3.771 -1.193 -2.761
Zn 1.196 0.194 -3.552
Pr 0.911 -2.945 -2.328
Pr 3.486 -4.332 -1.537
```

First-principles (PBE-GGA) data for a geometry-optimized PrHfZr structure, as listed in the Alexandria database.

Results
V: 26.3 A^3/atom
magnetic moment: 0.0 μB/f.u.
formation energy from the elements: 197 meV per atom
total DFT energy (no corrections): -0.5559 Ry/atom

Cell and atoms, written as extended XYZ:
```
3
Lattice="3.307 0.000 0.000 -1.654 2.864 0.000 0.000 0.000 8.316" Properties=species:S:1:pos:R:3 pbc="T T T"
Zr 0.000 1.909 5.357
Pr 0.000 0.000 0.026
Hf 1.654 0.955 2.933
```

First-principles (PBE-GGA) data for a geometry-optimized PrHfZr structure, as listed in the Alexandria database.

Results
V: 26.8 A^3/atom
magnetic moment: 0.0 μB/f.u.
formation energy from the elements: 147 meV per atom
total DFT energy (no corrections): -0.5596 Ry/atom

Cell and atoms, written as extended XYZ:
```
3
Lattice="-3.118 0.811 -0.439 -0.823 -3.145 0.037 1.000 1.511 7.737" Properties=species:S:1:pos:R:3 pbc="T T T"
Pr -2.936 -0.826 7.295
Zr -2.326 -1.042 2.561
Hf -0.620 0.219 4.816
```

> Which value of magnetic moment does entry 1 give?

0.0 μB/f.u.

> total DFT energy (no corrections) of number 1 (PrHf2Zn6)?

-0.2793 Ry/atom

> What is the total DFT energy (no corrections) in the eighth record?

-0.5596 Ry/atom